Record 1
This record from Alexandria via LeMat-Bulk describes a relaxed BeNbCr crystal. The functional is GGA-PBE.

Properties
E_form (kJ/mol of atoms): -11.5
Relative energy among the computed polymorphs (kJ/mol of formula units): 0
M_tot (μB per cell): 0.0

Cell lengths 3.364, 3.364, 6.744 Å; angles 90.00, 90.00, 90.00 degrees
Atoms (fractional coordinates):
Nb: 0.750 0.750 0.363
Nb: 0.250 0.250 0.637
Be: 0.750 0.750 0.752
Be: 0.250 0.250 0.248
Cr: 0.250 0.750 0.000
Cr: 0.750 0.250 0.000

=====

Record 2
This record from Alexandria via LeMat-Bulk describes a relaxed Sc6MnRu5 crystal. The functional is GGA-PBE.

Properties
E_form (kJ/mol of atoms): -46.6
M_tot (μB per cell): 3.7

Cell lengths 4.550, 6.491, 7.897 Å; angles 114.27, 106.74, 90.00 degrees
Each line ends with the local moment (μB).
Atoms (fractional coordinates):
Sc: 0.829 0.572 0.657  -0.01
Sc: 0.829 0.085 0.657  -0.01
Sc: 0.500 0.738 0.000  -0.04
Sc: 0.500 0.262 0.000  -0.04
Sc: 0.171 0.915 0.343  -0.01
Sc: 0.171 0.428 0.343  -0.01
Ru: 0.659 0.159 0.318  0.13
Ru: 0.332 0.332 0.664  0.00
Ru: 0.000 0.500 0.000  0.05
Ru: 0.668 0.668 0.336  0.00
Ru: 0.341 0.841 0.682  0.13
Mn: 0.000 0.000 0.000  3.35

=====

Record 3
This record from Alexandria via LeMat-Bulk describes a relaxed Pr3Dy4Y4 crystal. The functional is GGA-PBE.

Properties
E_form (kJ/mol of atoms): 16.4
Relative energy among the computed polymorphs (kJ/mol of formula units): 18
M_tot (μB per cell): 0.0

Cell lengths 3.579, 11.037, 11.037 Å; angles 61.53, 80.67, 80.67 degrees
Atoms (fractional coordinates):
Pr: 0.892 0.108 0.108
Pr: 0.108 0.892 0.892
Pr: 0.000 0.500 0.500
Dy: 0.778 0.722 0.722
Dy: 0.222 0.278 0.278
Dy: 0.500 0.791 0.209
Dy: 0.500 0.209 0.791
Y: 0.671 0.089 0.569
Y: 0.329 0.431 0.911
Y: 0.329 0.911 0.431
Y: 0.671 0.569 0.089

=====

- Among the records above, which one has the highest E_form?
  Pr3Dy4Y4

=====

Copy entry 3 word for word.
This record from Alexandria via LeMat-Bulk describes a relaxed Pr3Dy4Y4 crystal. The functional is GGA-PBE.

Properties
E_form (kJ/mol of atoms): 16.4
Relative energy among the computed polymorphs (kJ/mol of formula units): 18
M_tot (μB per cell): 0.0

Cell lengths 3.579, 11.037, 11.037 Å; angles 61.53, 80.67, 80.67 degrees
Atoms (fractional coordinates):
Pr: 0.892 0.108 0.108
Pr: 0.108 0.892 0.892
Pr: 0.000 0.500 0.500
Dy: 0.778 0.722 0.722
Dy: 0.222 0.278 0.278
Dy: 0.500 0.791 0.209
Dy: 0.500 0.209 0.791
Y: 0.671 0.089 0.569
Y: 0.329 0.431 0.911
Y: 0.329 0.911 0.431
Y: 0.671 0.569 0.089

=====

- Which of these has the highest M_tot?
  Sc6MnRu5

=====

- The highest E_form belongs to which entry?
  Pr3Dy4Y4